# 1
## PmPr2Y12 (GGA-PBE)

Data for PmPr2Y12 after structural relaxation.

## Properties
- Formation energy from the elements: 0.165 eV/atom
- ρ: 4.9 g/cm3
- Total energy: -5.960 eV/atom
- Magnetization: 0.00 μB/f.u.

Structure (CIF):
```
data_PmPr2Y12
_chemical_formula_sum 'Pm4 Pr8 Y48'
_space_group_name_H-M_alt 'C m m e'
_space_group_IT_number 67
_space_group_name_Hall '-C 2a 2'
_cell_length_a 7.099
_cell_length_b 11.451
_cell_length_c 24.998
_cell_angle_alpha 90.00
_cell_angle_beta 90.00
_cell_angle_gamma 90.00
loop_
_atom_site_label
_atom_site_type_symbol
_atom_site_fract_x
_atom_site_fract_y
_atom_site_fract_z
_atom_site_occupancy
Pm1 Pm 0.000 0.250 0.000 1
Pr1 Pr 0.000 0.250 0.266 1
Pr2 Pr 0.000 0.250 0.728 1
Y1 Y 0.000 0.001 0.078 1
Y2 Y 0.000 0.015 0.560 1
Y3 Y 0.238 0.250 0.417 1
Y4 Y 0.249 0.250 0.873 1
Y5 Y 0.250 0.000 0.199 1
Y6 Y 0.250 0.000 0.328 1
```


# 2
## Pm6PrY12 (GGA-PBE)

Data for Pm6PrY12 after structural relaxation.

## Properties
- Formation energy from the elements: 0.016 eV/atom
- ρ: 5.5 g/cm3
- Total energy: -5.818 eV/atom
- Offset from the most stable computed form: 0 meV per atom
- Magnetization: 0.00 μB/f.u.

Structure (CIF):
```
data_Pm6PrY12
_chemical_formula_sum 'Pm18 Pr3 Y36'
_space_group_name_H-M_alt 'R -3'
_space_group_IT_number 148
_space_group_name_Hall '-R 3'
_cell_length_a 15.7005
_cell_length_b 15.7005
_cell_length_c 8.8274
_cell_angle_alpha 90.00
_cell_angle_beta 90.00
_cell_angle_gamma 120.00
loop_
_atom_site_label
_atom_site_type_symbol
_atom_site_fract_x
_atom_site_fract_y
_atom_site_fract_z
_atom_site_occupancy
Pm1 Pm 0.0355 0.2806 0.3332 1
Pr1 Pr 0.0000 0.0000 0.0000 1
Y1 Y 0.0174 0.1403 0.6662 1
Y2 Y 0.0702 0.5613 0.6673 1
```


# 3
## PmPr4Y15 (GGA-PBE)

Data for PmPr4Y15 after structural relaxation.

## Properties
- Formation energy from the elements: 0.020 eV/atom
- ρ: 5.1 g/cm3
- Total energy: -6.021 eV/atom
- Magnetization: 0.00 μB/f.u.

Structure (CIF):
```
data_PmPr4Y15
_chemical_formula_sum 'Pm1 Pr4 Y15'
_space_group_name_H-M_alt 'P 4/m m m'
_space_group_IT_number 123
_space_group_name_Hall '-P 4 2'
_cell_length_a 5.115
_cell_length_b 5.115
_cell_length_c 25.443
_cell_angle_alpha 90.00
_cell_angle_beta 90.00
_cell_angle_gamma 90.00
loop_
_atom_site_label
_atom_site_type_symbol
_atom_site_fract_x
_atom_site_fract_y
_atom_site_fract_z
_atom_site_occupancy
Pm1 Pm 0.000 0.000 0.000 1
Pr1 Pr 0.000 0.000 0.200 1
Pr2 Pr 0.000 0.000 0.400 1
Y1 Y 0.000 0.500 0.099 1
Y2 Y 0.000 0.500 0.300 1
Y3 Y 0.000 0.500 0.500 1
Y4 Y 0.500 0.500 0.000 1
Y5 Y 0.500 0.500 0.199 1
Y6 Y 0.500 0.500 0.400 1
```